# 1
Entry from Alexandria: a geometry-optimized TlNiSn2 structure (GGA-PBE).

Geometry as POSCAR:
```
TlNiSn2
1.0
-3.424 -0.167 0.745
-2.168 -1.784 -2.104
-0.382 -8.426 4.614
Ni Tl Sn
1 1 2
Cartesian
-2.987 -5.189 1.627
0.000 0.000 0.000
-0.866 -5.887 2.959
-5.108 -4.490 0.296
```

* raw total energy: -4.006 eV/atom
* formation enthalpy at 0 K: 32 meV per atom
* polymorph energy (0 for the lowest one): 59.1 meV/atom



# 2
Entry from Alexandria: a geometry-optimized SmDyTh2 structure (GGA-PBE).

Geometry as POSCAR:
```
SmDyTh2
1.0
-2.463 1.419 4.917
-3.861 -3.445 2.340
1.255 -2.870 4.737
Sm Th Dy
1 2 1
Cartesian
-2.534 -2.448 5.997
-1.267 -1.224 2.999
-3.801 -3.673 8.996
0.000 0.000 0.000
```

* raw total energy: -5.867 eV/atom
* formation enthalpy at 0 K: 173 meV per atom
* polymorph energy (0 for the lowest one): 142.7 meV/atom



# 3
Entry from Alexandria: a geometry-optimized HfCuSb2 structure (GGA-PBE).

Geometry as POSCAR:
```
HfCuSb2
1.0
7.500 0.000 0.000
0.000 7.500 0.000
3.750 3.750 3.142
Sb Hf Cu
4 2 2
Cartesian
5.349 1.875 0.786
2.151 5.625 0.786
5.625 5.901 2.357
9.375 9.099 2.357
0.000 0.000 0.000
7.500 3.750 1.571
3.750 3.750 0.000
3.750 7.500 1.571
```

* raw total energy: -5.517 eV/atom



# 4
Entry from Alexandria: a geometry-optimized PuNpAu2 structure (GGA-PBE).

Geometry as POSCAR:
```
PuNpAu2
1.0
5.125 0.000 0.000
2.563 4.438 0.000
2.563 1.479 4.185
Np Au Pu
1 2 1
Cartesian
0.000 0.000 0.000
2.563 1.479 1.046
7.688 4.438 3.138
5.125 2.959 2.092
```

* raw total energy: -8.622 eV/atom
* formation enthalpy at 0 K: -165 meV per atom
* polymorph energy (0 for the lowest one): 39.1 meV/atom



# 5
Entry from Alexandria: a geometry-optimized Pr5Si2P2 structure (GGA-PBE).

Geometry as POSCAR:
```
Pr5Si2P2
1.0
-1.449 -5.962 -4.852
6.881 1.350 -3.714
2.737 -7.659 2.287
Pr Si P
10 4 4
Cartesian
0.000 0.000 0.000
2.716 -2.306 -4.283
2.431 -8.037 -1.254
6.502 -9.226 -5.425
6.088 -6.468 -2.384
2.845 -10.794 -4.295
5.739 -4.233 -5.026
1.667 -3.044 -0.854
2.081 -5.802 -3.895
5.324 -1.476 -1.985
2.503 -0.146 -1.983
2.929 -4.465 -6.583
5.544 -1.114 -5.178
-0.113 -3.498 -3.389
1.357 -5.794 0.408
4.073 -8.099 -3.875
-0.069 -7.827 -2.973
4.096 -4.171 -2.404
```

* raw total energy: -6.069 eV/atom



# 6
Entry from Alexandria: a geometry-optimized KSe3 structure (GGA-PBE).

Geometry as POSCAR:
```
KSe3
1.0
3.271 0.000 0.000
0.000 5.898 0.000
0.000 0.000 5.822
K Se
1 3
Cartesian
0.000 0.000 5.455
1.636 0.000 2.559
1.636 2.949 5.733
0.000 2.949 1.778
```

* raw total energy: -3.025 eV/atom
* polymorph energy (0 for the lowest one): 337.3 meV/atom



# 7
Entry from Alexandria: a geometry-optimized HoThCo4 structure (GGA-PBE).

Geometry as POSCAR:
```
HoThCo4
1.0
-0.814 3.860 0.119
-3.824 -0.790 -0.520
-0.832 -0.382 6.704
Ho Th Co
1 1 4
Cartesian
-3.544 3.080 6.552
-5.040 2.876 2.940
-4.355 1.074 0.641
-4.912 0.818 5.121
-2.863 1.277 4.277
-2.581 1.406 2.005
```

* raw total energy: -7.006 eV/atom
* formation enthalpy at 0 K: -269 meV per atom
* polymorph energy (0 for the lowest one): 0.0 meV/atom



# 8
Entry from Alexandria: a geometry-optimized TbZr5Zn6 structure (GGA-PBE).

Geometry as POSCAR:
```
TbZr5Zn6
1.0
4.583 0.019 -1.337
-0.927 5.938 -3.092
-0.078 0.442 8.259
Zn Tb Zr
6 1 5
Cartesian
3.220 3.725 2.567
3.675 0.815 4.083
1.606 4.398 -2.954
2.049 1.559 -1.476
-0.097 5.584 -0.253
0.357 2.675 1.262
0.000 0.000 0.000
2.874 1.149 1.344
1.164 2.277 4.023
-0.464 2.969 -1.546
2.413 4.122 -0.194
0.703 5.251 2.485
```

* raw total energy: -4.845 eV/atom
* formation enthalpy at 0 K: -260 meV per atom



# 9
Entry from Alexandria: a geometry-optimized RbPd2Pt2 structure (GGA-PBE).

Geometry as POSCAR:
```
RbPd2Pt2
1.0
4.113 0.000 0.000
0.000 4.113 0.000
2.057 2.057 6.173
Rb Pd Pt
1 2 2
Cartesian
0.000 0.000 0.000
2.057 2.057 1.355
4.113 4.113 4.818
4.113 2.057 3.086
2.057 4.113 3.086
```

* raw total energy: -4.368 eV/atom
* formation enthalpy at 0 K: 319 meV per atom
* polymorph energy (0 for the lowest one): 214.6 meV/atom



# 10
Entry from Alexandria: a geometry-optimized LiNpBi2 structure (GGA-PBE).

Geometry as POSCAR:
```
LiNpBi2
1.0
-1.298 4.188 -1.014
-4.262 -1.404 -0.345
-1.485 2.007 10.185
Li Np Bi
2 2 4
Cartesian
-2.780 1.392 -0.680
0.000 0.000 0.000
-2.518 -0.180 2.479
-1.747 3.578 7.027
-0.904 2.439 1.244
-3.361 0.960 8.262
-0.742 1.003 5.093
-3.522 2.395 4.413
```

* raw total energy: -5.811 eV/atom
* formation enthalpy at 0 K: -156 meV per atom
* polymorph energy (0 for the lowest one): 0.0 meV/atom



# 11
Entry from Alexandria: a geometry-optimized La2Pr4Co structure (GGA-PBE).

Geometry as POSCAR:
```
La2Pr4Co
1.0
-3.768 2.165 2.986
-2.558 -4.609 0.113
1.349 -3.546 8.927
Pr Co La
4 1 2
Cartesian
-4.889 -3.185 5.449
-0.088 -2.806 6.577
-1.279 -2.305 0.056
-1.884 1.082 1.493
0.000 0.000 0.000
-3.246 -4.031 8.136
-1.732 -1.959 3.890
```

* raw total energy: -4.921 eV/atom
* formation enthalpy at 0 K: 233 meV per atom



# 12
Entry from Alexandria: a geometry-optimized Mg6FeC structure (GGA-PBE).

Geometry as POSCAR:
```
Mg6FeC
1.0
-6.237 2.580 -1.653
-2.574 -5.106 3.950
0.113 1.868 2.488
Mg Fe C
6 1 1
Cartesian
-6.843 -2.108 3.842
-0.962 -0.422 2.308
-3.089 -2.972 4.319
-6.855 -0.887 0.978
-2.861 0.258 -0.063
-4.107 -1.890 1.605
-4.959 0.950 1.460
-5.342 0.702 -0.284
```

* raw total energy: -3.251 eV/atom
* formation enthalpy at 0 K: 156 meV per atom
* polymorph energy (0 for the lowest one): 0.0 meV/atom



| no. | M_tot (μB per atom) |
| --- | --- |
| 1 | 0.000 |
| 2 | 0.000 |
| 3 | 0.000 |
| 4 | 2.531 |
| 5 | 0.000 |
| 6 | 0.000 |
| 7 | 0.272 |
| 8 | 0.000 |
| 9 | 0.000 |
| 10 | 0.952 |
| 11 | 0.000 |
| 12 | 0.000 |